Entry from Alexandria: a geometry-optimized Pm4P3O structure (PBE-GGA).

Cell lengths 8.0006, 11.3076, 4.0115 Å; angles 90.00, 90.00, 90.00 degrees
Last column: nearest neighbours and their distance in Å.
Space group Cmmm (No. 65)
Symmetry-distinct sites (fractional):
Pm (0.0000, 0.2422, 0.0000) (multiplicity 4)  1 O 2.74, 5 P 2.83-2.92
Pm (0.2382, 0.0000, 0.5000) (multiplicity 4)  2 O 2.77, 4 P 2.83-2.90
P (0.0000, 0.5000, 0.0000) (multiplicity 2)  6 Pm 2.90-2.92
P (0.2500, 0.2500, 0.5000) (multiplicity 4)  6 Pm 2.83
O (0.0000, 0.0000, 0.0000) (multiplicity 2)  6 Pm 2.74-2.77

Properties
E_form (uncorrected) in eV per atom: -1.801

***

Entry from Alexandria: a geometry-optimized Tb4Sm3Sc5 structure (PBE-GGA).

Cell lengths 15.3916, 5.7278, 9.3444 Å; angles 90.00, 119.94, 90.00 degrees
Last column: nearest neighbours and their distance in Å.
Space group C2/m (No. 12)
Symmetry-distinct sites (fractional):
Tb (0.0865, 0.0000, 0.4453) (multiplicity 4)  2 Tb 3.29-3.55, 6 Sc 3.31-3.68, 1 Sm 3.38
Tb (0.2068, 0.0000, 0.8829) (multiplicity 4)  3 Sm 3.40-3.52, 3 Tb 3.44-3.55, 4 Sc 3.52-3.76
Sm (0.0000, 0.5000, 0.0000) (multiplicity 2)  4 Sc 2.86-3.04
Sm (0.2290, 0.0000, 0.2635) (multiplicity 4)  5 Sc 3.05-3.29, 2 Tb 3.38-3.40
Sc (0.0000, 0.0000, 0.0000) (multiplicity 2)  4 Sm 2.86-3.13
Sc (0.0608, 0.5000, 0.6983) (multiplicity 4)  2 Sm 3.07-3.38, 2 Sc 3.21-3.25
Sc (0.1656, 0.5000, 0.3598) (multiplicity 4)  4 Sm 3.04-3.29, 1 Sc 3.25, 3 Tb 3.31-3.36

Properties
DFT formation energy in eV/atom: 0.239

***

Entry from Alexandria: a geometry-optimized LiScCd2Sb structure (PBE-GGA).

Cell lengths 5.5619, 5.5619, 4.8116 Å; angles 90.00, 90.00, 90.00 degrees
Last column: nearest neighbours and their distance in Å.
Space group P4/mmm (No. 123)
Symmetry-distinct sites (fractional):
Li (0.0000, 0.0000, 0.0000) (multiplicity 1)  2 Sb 2.41
Sc (0.5000, 0.5000, 0.0000) (multiplicity 1)  8 Cd 3.68, 4 Li 3.93
Cd (0.0000, 0.5000, 0.5000) (multiplicity 2)  2 Sb 2.78
Sb (0.0000, 0.0000, 0.5000) (multiplicity 1)  2 Li 2.41

Properties
E_form (uncorrected) in eV per atom: 0.395

***

Entry from Alexandria: a geometry-optimized CeZn2GaNi2 structure (PBE-GGA).

Cell lengths 4.4024, 4.4024, 5.7010 Å; angles 90.00, 90.00, 90.00 degrees
Last column: nearest neighbours and their distance in Å.
Space group P4/mmm (No. 123)
Symmetry-distinct sites (fractional):
Ce (0.0000, 0.0000, 0.0000) (multiplicity 1)  2 Ga 2.85
Zn (0.5000, 0.5000, 0.2508) (multiplicity 2)  4 Ni 2.62, 2 Zn 2.84-2.86
Ga (0.0000, 0.0000, 0.5000) (multiplicity 1)  4 Ni 2.20
Ni (0.0000, 0.5000, 0.5000) (multiplicity 2)  2 Ga 2.20

Properties
DFT formation energy in eV/atom: -0.084

***

What is the formula in the first record?
Pm4P3O